(1)
A geometry-optimized RbZr2NbSn structure. Source: Alexandria, functional GGA-PBE.

a b c (Å): 5.033 5.033 4.818
angles (deg): 90.00 90.00 90.00
Space group P4/mmm (No. 123)
Symmetry-distinct sites (fractional):
Rb: 0.000 0.000 0.000
Zr: 0.000 0.500 0.000
Nb: 0.000 0.000 0.500
Sn: 0.500 0.500 0.500

DFT total energy = -22.06 eV for the cell shown



(2)
A geometry-optimized Rb2SrNb structure. Source: Alexandria, functional GGA-PBE.

a b c (Å): 9.288 9.288 9.288
angles (deg): 90.00 90.00 90.00
Space group Fm-3m (No. 225)
Symmetry-distinct sites (fractional):
Rb: 0.250 0.250 0.250
Sr: 0.000 0.000 0.000
Nb: 0.000 0.000 0.500

DFT total energy = -35.14 eV for the cell shown



Question: The highest DFT total energy belongs to which entry?
Answer: RbZr2NbSn



Question: Look up the DFT total energy of the first one.
Answer: -22.06 eV for the cell shown